Below is La3Pr7Sm after structural relaxation, with properties calculated at the GGA-PBE level.

Computed properties:
**SG**: C2/m, No. 12
**Energy above the lowest structure with this stoichiometry**: 7.8 meV per atom
**Electronic total energy**: -4.61 eV per atom
**ΔE_f**: 0.207 eV/atom

```
La3Pr7Sm
1.0
6.568 -5.774 0.000
6.568 5.774 0.000
-2.801 0.000 5.390
La Pr Sm
3 7 1
Direct
0.000 0.000 0.000
0.211 0.789 0.500
0.789 0.211 0.500
0.003 0.597 0.800
0.208 0.208 0.708
0.403 0.997 0.200
0.500 0.500 0.500
0.597 0.003 0.800
0.792 0.792 0.292
0.997 0.403 0.200
0.500 0.500 0.000
```